Entry 1:
A geometry-optimized Cs2GaBiBr6 structure. Source: Alexandria via LeMat-Bulk, functional PBE-GGA.

Geometry as POSCAR:
```
Cs2GaBiBr6
1.0
-1.832 -6.717 -4.471
7.387 0.448 -3.701
5.072 -6.535 0.083
Cs Ga Bi Br
2 1 1 6
direct
0.750 0.250 0.500
0.250 0.750 0.500
0.500 0.500 0.000
0.000 0.000 0.000
0.247 0.247 0.507
0.753 0.753 0.493
0.247 0.247 0.000
0.753 0.753 0.000
0.753 0.247 0.000
0.247 0.753 0.000
```

Calculated values
For the density of states at the Fermi level, the calculation gives 0.0 states/eV/cell. As for the total energy: -3.04 eV per atom. The uncorrected formation energy comes out at -1178 meV/atom.



Entry 2:
A geometry-optimized NaTiAs2O8 structure. Source: Alexandria via LeMat-Bulk, functional PBE-GGA.

Geometry as POSCAR:
```
NaTiAs2O8
1.0
-2.715 -4.797 -1.554
3.671 2.202 -3.804
3.116 -1.362 4.608
Na Ti As O
1 1 2 8
direct
0.000 0.000 0.000
0.250 0.750 0.500
0.750 0.250 0.500
0.500 0.500 0.000
0.371 0.050 0.321
0.332 0.535 0.203
0.332 0.130 0.797
0.729 0.050 0.679
0.870 0.668 0.203
0.950 0.271 0.321
0.950 0.629 0.679
0.465 0.668 0.797
```

Calculated values
For the density of states at the Fermi level, the calculation gives 7.9 states/eV/cell. As for the total energy: -6.30 eV per atom. The uncorrected formation energy comes out at -1449 meV/atom.



Entry 3:
A geometry-optimized NbBAs2Se structure. Source: Alexandria via LeMat-Bulk, functional PBE-GGA.

Geometry as POSCAR:
```
NbBAs2Se
1.0
5.029 0.000 0.000
0.000 5.029 0.000
0.000 0.000 4.980
Nb B As Se
1 1 2 1
direct
0.000 0.000 0.000
0.500 0.500 0.500
0.000 0.500 0.000
0.500 0.000 0.000
0.000 0.000 0.500
```

Calculated values
For the density of states at the Fermi level, the calculation gives 3.5 states/eV/cell. As for the total energy: -4.84 eV per atom. The uncorrected formation energy comes out at 1064 meV/atom.



Entry 4:
A geometry-optimized Ac3Sm3YS8 structure. Source: Alexandria via LeMat-Bulk, functional PBE-GGA.

Geometry as POSCAR:
```
Ac3Sm3YS8
1.0
-5.356 5.740 -2.251
3.854 -4.437 -5.671
-5.874 -3.628 4.727
Ac Sm Y S
3 3 1 8
direct
0.000 0.000 0.000
0.000 0.500 0.000
0.500 0.500 0.000
0.500 0.000 0.500
0.500 0.500 0.500
0.000 0.500 0.500
0.000 0.000 0.500
0.257 0.514 0.270
0.743 0.486 0.730
0.760 0.521 0.273
0.240 0.479 0.727
0.760 0.013 0.273
0.240 0.987 0.727
0.252 0.013 0.273
0.748 0.987 0.727
```

Calculated values
For the density of states at the Fermi level, the calculation gives 7.3 states/eV/cell. As for the total energy: -6.44 eV per atom. The uncorrected formation energy comes out at -2045 meV/atom.



Entry 5:
A geometry-optimized Ac2PmIn structure. Source: Alexandria via LeMat-Bulk, functional PBE-GGA.

Geometry as POSCAR:
```
Ac2PmIn
1.0
3.767 0.000 0.000
1.883 3.262 0.000
1.883 1.087 12.662
Ac In Pm
2 1 1
direct
0.095 0.095 0.715
0.905 0.905 0.285
0.500 0.500 0.500
0.000 0.000 0.000
```

Calculated values
The value obtained for the formation energy is 120 meV/atom. For the density of states at the Fermi level, the calculation gives 6.5 states/eV/cell. As for the total energy: -3.81 eV per atom.



Entry 6:
A geometry-optimized CdP2HS6 structure. Source: Alexandria via LeMat-Bulk, functional PBE-GGA.

Geometry as POSCAR:
```
CdP2HS6
1.0
-4.760 5.009 -1.347
-7.344 -2.697 -6.288
-6.631 1.650 7.352
Cd P H S
2 4 2 12
direct
0.250 0.998 0.002
0.750 0.002 0.998
0.342 0.782 0.649
0.158 0.351 0.218
0.658 0.218 0.351
0.842 0.649 0.782
0.250 0.340 0.660
0.750 0.660 0.340
0.126 0.003 0.791
0.374 0.209 0.997
0.874 0.997 0.209
0.626 0.791 0.003
0.488 0.813 0.440
0.012 0.560 0.187
0.512 0.187 0.560
0.988 0.440 0.813
0.049 0.719 0.628
0.451 0.372 0.281
0.951 0.281 0.372
0.549 0.628 0.719
```

Calculated values
For the density of states at the Fermi level, the calculation gives 5.2 states/eV/cell. As for the total energy: -4.12 eV per atom.



Entry 7:
A geometry-optimized K3Tb2BiO6 structure. Source: Alexandria via LeMat-Bulk, functional PBE-GGA.

Geometry as POSCAR:
```
K3Tb2BiO6
1.0
6.134 -0.001 0.000
-3.066 5.313 0.000
-1.023 -1.772 6.280
K Tb Bi O
3 2 1 6
direct
0.165 0.835 0.500
0.835 0.165 0.500
0.500 0.500 0.500
0.333 0.667 0.000
0.667 0.333 0.000
0.000 0.000 0.000
0.936 0.590 0.809
0.717 0.717 0.191
0.064 0.410 0.191
0.590 0.936 0.809
0.283 0.283 0.809
0.410 0.064 0.191
```

Calculated values
For the density of states at the Fermi level, the calculation gives 0.0 states/eV/cell. As for the total energy: -6.14 eV per atom. The uncorrected formation energy comes out at -2287 meV/atom.



Entry 8:
A geometry-optimized TiIrN2O structure. Source: Alexandria via LeMat-Bulk, functional PBE-GGA.

Geometry as POSCAR:
```
TiIrN2O
1.0
-0.376 -3.728 0.838
-0.148 -0.827 -3.746
3.895 -0.407 -0.064
N Ir O Ti
2 1 1 1
direct
0.000 0.500 0.000
0.500 0.000 0.000
0.000 0.000 0.000
0.000 0.000 0.500
0.500 0.500 0.500
```

Calculated values
For the density of states at the Fermi level, the calculation gives 4.7 states/eV/cell. As for the total energy: -7.27 eV per atom. The uncorrected formation energy comes out at 407 meV/atom.



What did the third record say?
A geometry-optimized NbBAs2Se structure. Source: Alexandria via LeMat-Bulk, functional PBE-GGA.

Geometry as POSCAR:
```
NbBAs2Se
1.0
5.029 0.000 0.000
0.000 5.029 0.000
0.000 0.000 4.980
Nb B As Se
1 1 2 1
direct
0.000 0.000 0.000
0.500 0.500 0.500
0.000 0.500 0.000
0.500 0.000 0.000
0.000 0.000 0.500
```

Calculated values
For the density of states at the Fermi level, the calculation gives 3.5 states/eV/cell. As for the total energy: -4.84 eV per atom. The uncorrected formation energy comes out at 1064 meV/atom.